Entry 1:
A plane-wave DFT calculation with PBE was carried out for crystalline Li3TlCd3 at its relaxed geometry.

Cell and atoms, written as CIF:
```
data_Li3TlCd3
_chemical_formula_sum 'Li12 Tl4 Cd12'
_cell_length_a 8.4041
_cell_length_b 8.4041
_cell_length_c 8.4041
_cell_angle_alpha 90.00
_cell_angle_beta 90.00
_cell_angle_gamma 90.00
_symmetry_space_group_name_H-M 'P 1'
_symmetry_Int_Tables_number 1
loop_
_symmetry_equiv_pos_as_xyz
'x,y,z'
loop_
_atom_site_label
_atom_site_type_symbol
_atom_site_fract_x
_atom_site_fract_y
_atom_site_fract_z
_atom_site_occupancy
Li1 Li 0.2093 0.1129 0.4349 1
Li2 Li 0.0651 0.7907 0.6129 1
Cd1 Cd 0.6147 0.3853 0.8853 1
Cd2 Cd 0.4149 0.5851 0.0851 1
Tl1 Tl 0.9027 0.0973 0.5973 1
Li3 Li 0.2907 0.8871 0.9349 1
Cd3 Cd 0.1147 0.1147 0.1147 1
Cd4 Cd 0.3853 0.8853 0.6147 1
Li4 Li 0.7093 0.3871 0.5651 1
Tl2 Tl 0.5973 0.9027 0.0973 1
Li5 Li 0.6129 0.0651 0.7907 1
Li6 Li 0.5651 0.7093 0.3871 1
Li7 Li 0.7907 0.6129 0.0651 1
Cd5 Cd 0.2080 0.7920 0.2920 1
Tl3 Tl 0.4027 0.4027 0.4027 1
Li8 Li 0.4349 0.2093 0.1129 1
Cd6 Cd 0.7080 0.7080 0.7080 1
Li9 Li 0.9349 0.2907 0.8871 1
Li10 Li 0.3871 0.5651 0.7093 1
Cd7 Cd 0.7920 0.2920 0.2080 1
Li11 Li 0.1129 0.4349 0.2093 1
Li12 Li 0.8871 0.9349 0.2907 1
Cd8 Cd 0.9149 0.9149 0.9149 1
Cd9 Cd 0.5851 0.0851 0.4149 1
Cd10 Cd 0.8853 0.6147 0.3853 1
Tl4 Tl 0.0973 0.5973 0.9027 1
Cd11 Cd 0.2920 0.2080 0.7920 1
Cd12 Cd 0.0851 0.4149 0.5851 1
```

Computed properties:
Space group: P2_13 (198)
Mass density in g/cm³: 6.3
DOS(E_F) in states/eV/atom: 0.30
DFT formation energy in eV/atom: -0.149
Final energy in eV/atom: -1.70
Spin magnetization in μB/atom: 0.00

=====

Entry 2:
A plane-wave DFT calculation with PBE was carried out for crystalline LiTlCd2 at its relaxed geometry.

Cell and atoms, written as CIF:
```
data_LiTlCd2
_chemical_formula_sum 'Li1 Tl1 Cd2'
_cell_length_a 5.2510
_cell_length_b 3.2997
_cell_length_c 5.3011
_cell_angle_alpha 90.61
_cell_angle_beta 90.00
_cell_angle_gamma 90.00
_symmetry_space_group_name_H-M 'P 1'
_symmetry_Int_Tables_number 1
loop_
_symmetry_equiv_pos_as_xyz
'x,y,z'
loop_
_atom_site_label
_atom_site_type_symbol
_atom_site_fract_x
_atom_site_fract_y
_atom_site_fract_z
_atom_site_occupancy
Li1 Li 0.5000 0.2500 0.2500 1
Cd1 Cd 0.0000 0.5021 0.4868 1
Cd2 Cd 0.0000 0.9979 0.0132 1
Tl1 Tl 0.5000 0.7500 0.7500 1
```

Computed properties:
Space group: P2/m (10)
Mass density in g/cm³: 7.9
DOS(E_F) in states/eV/atom: 0.32
DFT formation energy in eV/atom: -0.081
Final energy in eV/atom: -1.61
Spin magnetization in μB/atom: 0.00

=====

Entry 3:
A plane-wave DFT calculation with PBE was carried out for crystalline Li2Tl2Cd at its relaxed geometry.

Cell and atoms, written as CIF:
```
data_Li2Tl2Cd
_chemical_formula_sum 'Li4 Tl4 Cd2'
_cell_length_a 5.5061
_cell_length_b 7.6748
_cell_length_c 7.1902
_cell_angle_alpha 122.26
_cell_angle_beta 112.51
_cell_angle_gamma 90.00
_symmetry_space_group_name_H-M 'P 1'
_symmetry_Int_Tables_number 1
loop_
_symmetry_equiv_pos_as_xyz
'x,y,z'
loop_
_atom_site_label
_atom_site_type_symbol
_atom_site_fract_x
_atom_site_fract_y
_atom_site_fract_z
_atom_site_occupancy
Li1 Li 0.4352 0.1023 0.8704 1
Tl1 Tl 0.2953 0.6457 0.5907 1
Cd1 Cd 0.2500 0.5000 0.0000 1
Li2 Li 0.9352 0.7680 0.8704 1
Tl2 Tl 0.7047 0.3543 0.4093 1
Tl3 Tl 0.2047 0.0550 0.4093 1
Cd2 Cd 0.7500 0.5000 0.0000 1
Li3 Li 0.0648 0.2320 0.1296 1
Li4 Li 0.5648 0.8977 0.1296 1
Tl4 Tl 0.7953 0.9450 0.5907 1
```

Computed properties:
Space group: Ibam (72)
Mass density in g/cm³: 7.8
DOS(E_F) in states/eV/atom: 0.29
DFT formation energy in eV/atom: -0.112
Final energy in eV/atom: -2.01
Spin magnetization in μB/atom: 0.00

=====

Entry 4:
A plane-wave DFT calculation with PBE was carried out for crystalline Li8Tl5Cd at its relaxed geometry.

Cell and atoms, written as CIF:
```
data_Li8Tl5Cd
_chemical_formula_sum 'Li8 Tl5 Cd1'
_cell_length_a 7.3006
_cell_length_b 7.3006
_cell_length_c 7.3006
_cell_angle_alpha 112.15
_cell_angle_beta 112.15
_cell_angle_gamma 104.24
_symmetry_space_group_name_H-M 'P 1'
_symmetry_Int_Tables_number 1
loop_
_symmetry_equiv_pos_as_xyz
'x,y,z'
loop_
_atom_site_label
_atom_site_type_symbol
_atom_site_fract_x
_atom_site_fract_y
_atom_site_fract_z
_atom_site_occupancy
Li1 Li 0.1629 0.5900 0.7624 1
Tl1 Tl 0.4473 0.0423 0.1587 1
Tl2 Tl 0.8837 0.2887 0.8413 1
Cd1 Cd 0.2500 0.7500 0.5000 1
Tl3 Tl 0.5000 0.5000 0.0000 1
Li2 Li 0.5995 0.8371 0.4271 1
Li3 Li 0.2279 0.3287 0.2552 1
Tl4 Tl 0.9577 0.1163 0.4050 1
Li4 Li 0.8277 0.4005 0.2376 1
Li5 Li 0.0273 0.7721 0.1008 1
Li6 Li 0.0736 0.9727 0.7448 1
Li7 Li 0.4100 0.1723 0.5729 1
Li8 Li 0.6713 0.9264 0.8992 1
Tl5 Tl 0.7113 0.5527 0.5950 1
```

Computed properties:
Space group: I-4 (82)
Mass density in g/cm³: 6.6
DOS(E_F) in states/eV/atom: 0.40
DFT formation energy in eV/atom: -0.151
Final energy in eV/atom: -2.15
Spin magnetization in μB/atom: 0.00